No. 1
An optimized crystal structure of LiAlOs, computed with PBE-GGA.

```
LiAlOs
1.0
-2.493 3.672 2.748
-5.065 0.460 0.007
-2.043 -3.018 2.171
Li Al Os
2 2 2
direct
0.082 0.723 0.891
0.364 0.444 0.530
0.730 0.050 0.227
0.551 0.762 0.870
0.207 0.101 0.201
0.884 0.395 0.554
```

Space group: No. 1
Offset from the most stable computed form (eV per formula unit): 0.096
D(E_F) (states/eV/f.u.): 1.5
M_tot (μB per cell): 0.00
Formation energy from the elements (eV per atom): -0.1345

=====

No. 2
An optimized crystal structure of LiLa3Pb2O, computed with PBE-GGA.

```
LiLa3Pb2O
1.0
-0.023 0.645 -4.604
-4.354 -2.120 -0.276
-1.608 8.389 3.530
Li La Pb O
1 3 2 1
direct
0.500 0.000 0.000
0.000 0.500 0.000
0.161 0.161 0.322
0.839 0.839 0.678
0.642 0.642 0.284
0.358 0.358 0.716
0.000 0.000 0.000
```

Space group: No. 71
D(E_F) (states/eV/f.u.): 1.2
Raw formation energy (eV per atom): -1.204
M_tot (μB per cell): 0.00

=====

No. 3
An optimized crystal structure of YMn2TlOs, computed with PBE-GGA.

```
YMn2TlOs
1.0
5.134 0.000 0.000
0.000 4.957 0.000
0.000 0.000 5.134
Y Tl Mn Os
1 1 2 1
direct
0.000 0.000 0.000
0.500 0.500 0.500
0.000 0.000 0.500
0.500 0.000 0.000
0.000 0.500 0.000
```

Space group: No. 123
D(E_F) (states/eV/f.u.): 5.4
M_tot (μB per cell): 8.55
Formation energy from the elements (eV per atom): 1.8072

=====

No. 4
An optimized crystal structure of Pr4DyCd2, computed with PBE-GGA.

```
Pr4DyCd2
1.0
5.655 0.000 0.000
2.828 4.898 0.000
2.828 1.633 8.876
Pr Dy Cd
4 1 2
direct
0.735 0.735 0.795
0.870 0.870 0.389
0.265 0.265 0.205
0.130 0.130 0.611
0.500 0.500 0.500
0.615 0.615 0.156
0.385 0.385 0.844
```

Space group: No. 166
D(E_F) (states/eV/f.u.): 10.1
M_tot (μB per cell): 0.00
Formation energy from the elements (eV per atom): 0.0906

=====

No. 5
An optimized crystal structure of TbGeTe3, computed with PBE-GGA.

```
TbGeTe3
1.0
4.374 0.000 0.000
0.000 7.255 0.000
0.000 -3.628 12.259
Tb Ge Te
2 2 6
direct
0.250 0.049 0.657
0.750 0.393 0.343
0.250 0.781 0.248
0.750 0.533 0.752
0.750 0.924 0.788
0.750 0.569 0.149
0.750 0.252 0.552
0.250 0.420 0.851
0.250 0.136 0.212
0.250 0.700 0.448
```

Space group: No. 40
D(E_F) (states/eV/f.u.): 2.0
Raw formation energy (eV per atom): -0.659
M_tot (μB per cell): 0.00

=====

No. 6
An optimized crystal structure of TlIn2GaAu, computed with PBE-GGA.

```
TlIn2GaAu
1.0
5.487 0.000 0.000
0.000 5.487 0.000
0.000 0.000 4.922
Tl Au Ga In
1 1 1 2
direct
0.500 0.500 0.500
0.000 0.000 0.000
0.000 0.000 0.500
0.000 0.500 0.000
0.500 0.000 0.000
```

Space group: No. 123
D(E_F) (states/eV/f.u.): 2.9
M_tot (μB per cell): 0.00
Formation energy from the elements (eV per atom): 0.0866

=====

No. 7
An optimized crystal structure of Sm3Ho2Tm2, computed with PBE-GGA.

```
Sm3Ho2Tm2
1.0
-1.192 3.260 -0.774
-1.141 0.437 11.718
4.040 3.992 2.386
Sm Ho Tm
3 2 2
direct
0.000 0.000 0.000
0.571 0.429 0.287
0.429 0.571 0.713
0.857 0.142 0.429
0.143 0.858 0.571
0.712 0.284 0.860
0.288 0.716 0.140
```

Space group: No. 2
Offset from the most stable computed form (eV per formula unit): 0.000
D(E_F) (states/eV/f.u.): 8.6
M_tot (μB per cell): 0.00
Formation energy from the elements (eV per atom): 0.0185

=====

No. 8
An optimized crystal structure of Nd3Be2SiPt9, computed with PBE-GGA.

```
Nd3Be2SiPt9
1.0
5.875 0.000 0.000
-2.938 5.088 0.000
0.000 0.000 9.157
Nd Be Si Pt
3 2 1 9
direct
0.333 0.667 0.625
0.000 0.000 0.000
0.667 0.333 0.375
0.333 0.667 0.154
0.667 0.333 0.846
0.000 0.000 0.500
0.837 0.163 0.695
0.837 0.674 0.695
0.326 0.163 0.695
0.674 0.837 0.305
0.163 0.326 0.305
0.163 0.837 0.305
0.500 0.000 0.000
0.000 0.500 0.000
0.500 0.500 0.000
```

Space group: No. 164
D(E_F) (states/eV/f.u.): 3.4
Raw formation energy (eV per atom): -0.848
M_tot (μB per cell): 0.00